Entry 1:
This record from Alexandria describes a geometry-optimized KTmSn structure. The functional is PBE.

a = 5.305 Å, b = 5.305 Å, c = 8.207 Å
α = 90.00°, β = 90.00°, γ = 90.00°
Sites, in units of the cell vectors:
Sn 0.000 0.500 0.311
Sn 0.500 0.000 0.689
Tm 0.000 0.000 0.500
Tm 0.500 0.500 0.500
K 0.500 0.000 0.133
K 0.000 0.500 0.867

Properties
Its formation energy is -0.3651 eV per atom. The volume comes out at 115.5 Å³/f.u. As for the symmetry: P4/nmm.

***

Entry 2:
This record from Alexandria describes a geometry-optimized NiC2 structure. The functional is PBE.

a = 2.811 Å, b = 2.811 Å, c = 3.709 Å
α = 90.00°, β = 90.00°, γ = 90.00°
Sites, in units of the cell vectors:
C 0.000 0.000 0.500
C 0.500 0.500 0.000
Ni 0.000 0.000 0.000

Properties
Its formation energy is 2.3505 eV per atom. The volume comes out at 29.3 Å³/f.u. As for the symmetry: P4/mmm.